Record 1
K4ZnP2 (PBEsol, relaxed); formation energy from the elements = -25.6 kJ per mole of atoms; space group = P2_1, No. 4; polymorph energy (0 for the lowest one) = 104.1 meV per atom
1.0
6.178 0.000 0.000
0.000 11.295 0.000
-3.039 0.000 7.931
K Zn P
8 2 4
Direct
0.020 0.000 0.113
0.046 0.545 0.374
0.459 0.322 0.671
0.465 0.713 0.807
0.535 0.213 0.193
0.541 0.822 0.329
0.954 0.045 0.626
0.980 0.500 0.887
0.475 0.015 0.742
0.525 0.515 0.258
0.397 0.068 0.478
0.463 0.966 0.988
0.537 0.466 0.012
0.603 0.568 0.522

***

Record 2
YBeIr (PBEsol, relaxed); formation energy from the elements = -59.4 kJ per mole of atoms; space group = P-6m2, No. 187; polymorph energy (0 for the lowest one) = 0.0 meV per atom
1.0
3.885 0.000 0.000
-1.942 3.364 0.000
0.000 0.000 3.936
Y Be Ir
1 1 1
Direct
0.000 0.000 0.000
0.333 0.667 0.500
0.667 0.333 0.500

***

Record 3
NaBi2PPd (PBEsol, relaxed); formation energy from the elements = 104.3 kJ per mole of atoms; space group = P4/mmm, No. 123
1.0
5.274 0.000 0.000
0.000 5.274 0.000
0.000 0.000 4.669
Na Bi P Pd
1 2 1 1
Direct
0.000 0.000 0.000
0.000 0.500 0.000
0.500 0.000 0.000
0.000 0.000 0.500
0.500 0.500 0.500